## CaMn2TeO6 (PBE+U)

Data for CaMn2TeO6 after structural relaxation.

Properties
magnetization: 8.0 μB per formula unit
energy: -6.69 eV/atom

Cell and atoms, written as POSCAR:
```
CaMn2TeO6
1.0
5.717 0.229 0.165
2.855 4.958 0.165
2.855 1.728 4.650
Ca O Mn Te
1 6 2 1
direct
0.477 0.477 0.477
0.554 0.922 0.358
0.358 0.554 0.922
0.922 0.358 0.554
0.855 0.403 0.029
0.403 0.029 0.855
0.029 0.855 0.403
0.691 0.691 0.691
0.211 0.211 0.211
0.001 0.001 0.001
```